Compound: Y2AlBiO6
Source: Alexandria
Functional: PBE
Structure: relaxed

The structure in POSCAR format:
```
Y2AlBiO6
1.0
5.294 0.000 0.000
0.000 5.294 0.000
0.000 0.000 5.314
Y Al Bi O
2 1 1 6
Direct
0.000 0.500 0.000
0.500 0.000 0.000
0.000 0.000 0.623
0.500 0.500 0.565
0.000 0.000 0.283
0.232 0.232 0.761
0.232 0.768 0.761
0.500 0.500 0.135
0.768 0.232 0.761
0.768 0.768 0.761
```

Summary:
density of states at the Fermi level: 0.0 states/eV per cell
uncorrected formation energy: -25.42 eV/f.u.
space group: P4mm, No. 99